[1]
{"formula": "RbMgCl3", "functional": "PBEsol", "state": "optimized geometry", "cell": [[7.050, 0.000, 0.000], [-3.525, 6.105, 0.000], [0.000, 0.000, 11.802]], "species": ["Cl", "Cl", "Cl", "Cl", "Cl", "Cl", "Cl", "Cl", "Cl", "Cl", "Cl", "Cl", "Mg", "Mg", "Mg", "Mg", "Rb", "Rb", "Rb", "Rb"], "fractional_positions": [[0.500, 0.500, 0.000], [0.000, 0.500, 0.000], [0.500, 0.000, 0.000], [0.500, 0.500, 0.500], [0.000, 0.500, 0.500], [0.500, 0.000, 0.500], [0.827, 0.173, 0.750], [0.347, 0.173, 0.750], [0.827, 0.653, 0.750], [0.173, 0.827, 0.250], [0.653, 0.827, 0.250], [0.173, 0.347, 0.250], [0.667, 0.333, 0.881], [0.333, 0.667, 0.381], [0.333, 0.667, 0.119], [0.667, 0.333, 0.619], [0.000, 0.000, 0.000], [0.000, 0.000, 0.500], [0.667, 0.333, 0.250], [0.333, 0.667, 0.750]], "sg": "No. 194"}

[2]
{"formula": "MgReCl2", "functional": "PBEsol", "state": "optimized geometry", "cell": [[-1.217, 2.425, 1.152], [-2.885, -0.092, -2.853], [-2.929, -3.662, 3.080]], "species": ["Cl", "Cl", "Mg", "Re"], "fractional_positions": [[0.069, 0.000, 0.243], [0.931, 0.000, 0.757], [0.500, 0.500, 0.500], [0.000, 0.500, 0.000]], "sg": "No. 10", "de_polymorph_ev_per_atom": 0.0000}

[3]
{"formula": "MgReCl2", "functional": "PBEsol", "state": "optimized geometry", "cell": [[4.312, 0.000, 0.000], [0.000, 4.312, 0.000], [-2.156, -2.156, 7.745]], "species": ["Re", "Re", "Mg", "Mg", "Cl", "Cl", "Cl", "Cl"], "fractional_positions": [[0.250, 0.750, 0.500], [0.000, 0.000, 0.000], [0.750, 0.250, 0.500], [0.500, 0.500, 0.000], [0.345, 0.875, 0.250], [0.905, 0.375, 0.250], [0.125, 0.095, 0.750], [0.625, 0.655, 0.750]], "sg": "No. 122", "de_polymorph_ev_per_atom": 0.2276}

no.,ΔE_f (raw) (eV per atom)
1,-1.926
2,0.138
3,0.366